[1]
Crystalline Mg3Zn at its relaxed geometry. Source: Alexandria, functional PBE.

The value obtained for the calculated formation energy is 0.01 eV/atom.

The structure belongs to space group Fm-3m (No. 225); the cell edges are 6.8580, 6.8580 and 6.8580 Å and the angles 90.00°, 90.00° and 90.00°. The asymmetric unit holds Mg at (0.0000, 0.0000, 0.0000), Mg at (0.2500, 0.2500, 0.2500) and Zn at (0.0000, 0.0000, 0.5000).



[2]
Crystalline MgZn2 at its relaxed geometry. Source: Alexandria, functional PBE.

The value obtained for the calculated formation energy is 0.05 eV/atom.

The structure belongs to space group P-62m (No. 189); the cell edges are 7.8155, 7.8155 and 3.0034 Å and the angles 90.00°, 90.00° and 120.00°. The asymmetric unit holds Mg at (0.0000, 0.0000, 0.0000), Mg at (0.3333, 0.6667, 0.5000), Zn at (0.0000, 0.3626, 0.0000) and Zn at (0.0000, 0.6959, 0.5000).



[3]
Crystalline MgZn2 at its relaxed geometry. Source: Alexandria, functional PBE.

The value obtained for the calculated formation energy is 0.39 eV/atom.

The structure belongs to space group Pa-3 (No. 205); the cell edges are 6.5265, 6.5265 and 6.5265 Å and the angles 90.00°, 90.00° and 90.00°. The asymmetric unit holds Mg at (0.0000, 0.0000, 0.0000) and Zn at (0.1150, 0.6150, 0.8850).



[4]
Crystalline Mg3Zn at its relaxed geometry. Source: Alexandria, functional PBE.

The value obtained for the calculated formation energy is -0.01 eV/atom.

The structure belongs to space group I4/mmm (No. 139); the cell edges are 4.3599, 4.3599 and 8.6055 Å and the angles 90.00°, 90.00° and 90.00°. The asymmetric unit holds Mg at (0.0000, 0.0000, 0.0000), Mg at (0.0000, 0.5000, 0.2500) and Zn at (0.0000, 0.0000, 0.5000).



[5]
Crystalline MgZn at its relaxed geometry. Source: Alexandria, functional PBE.

The value obtained for the calculated formation energy is 0.61 eV/atom.

The structure belongs to space group Pm-3n (No. 223); the cell edges are 7.6600, 7.6600 and 7.6600 Å and the angles 90.00°, 90.00° and 90.00°. The asymmetric unit holds Mg at (0.0000, 0.2500, 0.5000) and Zn at (0.0000, 0.5000, 0.2500).



[6]
Crystalline MgZn at its relaxed geometry. Source: Alexandria, functional PBE.

The value obtained for the calculated formation energy is -0.08 eV/atom.

The structure belongs to space group Pnma (No. 62); the cell edges are 6.0298, 4.3756 and 5.6084 Å and the angles 90.00°, 90.00° and 90.00°. The asymmetric unit holds Mg at (0.1496, 0.2500, 0.1301) and Zn at (0.0448, 0.2500, 0.6318).



[7]
Crystalline MgZn at its relaxed geometry. Source: Alexandria, functional PBE.

The value obtained for the calculated formation energy is -0.04 eV/atom.

The structure belongs to space group P4/mnc (No. 128); the cell edges are 7.9109, 7.9109 and 4.8049 Å and the angles 90.00°, 90.00° and 90.00°. The asymmetric unit holds Mg at (0.0430, 0.2892, 0.0000) and Zn at (0.1110, 0.7952, 0.5000).



[8]
Crystalline MgZn2 at its relaxed geometry. Source: Alexandria, functional PBE.

The value obtained for the calculated formation energy is -0.04 eV/atom.

The structure belongs to space group I4_1/amd (No. 141, origin choice 2); the cell edges are 4.1501, 4.1501 and 23.6972 Å and the angles 90.00°, 90.00° and 90.00°. The asymmetric unit holds Mg at (0.0000, 0.2500, 0.2954), Zn at (0.0000, 0.2500, 0.1259) and Zn at (0.0000, 0.2500, 0.7936).



[9]
Crystalline MgZn2 at its relaxed geometry. Source: Alexandria, functional PBE.

The value obtained for the calculated formation energy is 0.02 eV/atom.

The structure belongs to space group P-3m1 (No. 164); the cell edges are 3.0886, 3.0886 and 6.4822 Å and the angles 90.00°, 90.00° and 120.00°. The asymmetric unit holds Mg at (0.0000, 0.0000, 0.0000) and Zn at (0.3333, 0.6667, 0.6543).



[10]
Crystalline MgZn12 at its relaxed geometry. Source: Alexandria, functional PBE.

For the offset from the most stable computed form, the calculation gives 369 meV/atom. The value obtained for the calculated formation energy is 0.37 eV/atom.

The structure belongs to space group Fm-3m (No. 225); the cell edges are 10.6620, 10.6620 and 10.6620 Å and the angles 90.00°, 90.00° and 90.00°. The asymmetric unit holds Mg at (0.0000, 0.0000, 0.0000) and Zn at (0.0000, 0.1700, 0.3300).



[11]
Crystalline MgZn at its relaxed geometry. Source: Alexandria, functional PBE.

The value obtained for the calculated formation energy is -0.01 eV/atom.

The structure belongs to space group P-6m2 (No. 187); the cell edges are 3.1364, 3.1364 and 4.3910 Å and the angles 90.00°, 90.00° and 120.00°. The asymmetric unit holds Mg at (0.0000, 0.0000, 0.0000) and Zn at (0.6667, 0.3333, 0.5000).



[12]
Crystalline MgZn6 at its relaxed geometry. Source: Alexandria, functional PBE.

For the offset from the most stable computed form, the calculation gives 606 meV/atom. The value obtained for the calculated formation energy is 0.58 eV/atom.

The structure belongs to space group Pm-3m (No. 221); the cell edges are 6.1339, 6.1339 and 6.1339 Å and the angles 90.00°, 90.00° and 90.00°. The asymmetric unit holds Mg at (0.0000, 0.0000, 0.0000) and Zn at (0.1956, 0.5000, 0.5000).